DFT (GGA-PBE) results for crystalline Pm4AlSn at its relaxed geometry.

Lattice parameters (Å, degrees): 5.2763 5.2749 8.8930 72.72 72.74 59.99
Last column: nearest neighbours and their distance in Å.
Fractional coordinates of all 6 atoms:
Pm: 0.6222 0.6223 0.1333  1 Al 3.06, 3 Sn 3.24
Pm: 0.3778 0.3777 0.8667  1 Al 3.06, 3 Sn 3.24
Pm: 0.1320 0.1321 0.6039  3 Al 3.17, 1 Sn 3.31, 3 Pm 3.50-3.51
Pm: 0.8680 0.8679 0.3961  3 Al 3.17, 1 Sn 3.31, 3 Pm 3.50-3.51
Al: 0.5000 0.5000 0.5000  8 Pm 3.06-3.17
Sn: 0.0000 0.0000 0.0000  8 Pm 3.24-3.31

As for the formation energy: -134 kJ/mol of formula units. For the energy above the most stable polymorph in this dataset, the calculation gives 0.003 eV/atom. The calculated density comes out at 5985 kg/m3. The calculation puts the total DFT energy (no corrections) at -4.690 eV/atom. The calculation puts the total magnetization at 0.00 μB/f.u.

***

DFT (GGA-PBE) results for crystalline PaBeSi2Ru at its relaxed geometry.

Lattice parameters (Å, degrees): 3.9280 3.9280 5.7820 109.86 109.86 90.00
Last column: nearest neighbours and their distance in Å.
Fractional coordinates of all 5 atoms:
Pa: 0.0000 0.0000 0.0000  8 Si 3.02, 4 Ru 3.21, 4 Be 3.21
Be: 0.7500 0.2500 0.5000  4 Si 2.38
Si: 0.6177 0.6177 0.2354  2 Ru 2.38, 2 Be 2.38, 1 Si 2.39
Si: 0.3823 0.3823 0.7646  2 Be 2.38, 2 Ru 2.38, 1 Si 2.39
Ru: 0.2500 0.7500 0.5000  4 Si 2.38

The calculated density comes out at 8431 kg/m3. The calculation puts the total DFT energy (no corrections) at -7.236 eV/atom. The calculation puts the total magnetization at 0.00 μB/f.u.

***

DFT (GGA-PBE) results for crystalline LiTmGa2 at its relaxed geometry.

Lattice parameters (Å, degrees): 4.7736 4.7736 4.7736 60.00 60.00 60.00
Last column: nearest neighbours and their distance in Å.
Fractional coordinates of all 4 atoms:
Tm: 0.0000 0.0000 0.0000  8 Ga 2.92
Ga: 0.2500 0.2500 0.2500  4 Li 2.92, 4 Tm 2.92
Ga: 0.7500 0.7500 0.7500  4 Li 2.92, 4 Tm 2.92
Li: 0.5000 0.5000 0.5000  8 Ga 2.92

As for the formation energy: -175 kJ/mol of formula units. For the energy above the most stable polymorph in this dataset, the calculation gives 0.034 eV/atom. The calculated density comes out at 6808 kg/m3. The calculation puts the total DFT energy (no corrections) at -3.563 eV/atom. The calculation puts the total magnetization at 0.00 μB/f.u.

***

DFT (GGA-PBE) results for crystalline SrIn5Hg6 at its relaxed geometry.

Lattice parameters (Å, degrees): 10.0719 5.5566 7.0426 66.77 80.53 65.35
Last column: nearest neighbours and their distance in Å.
Fractional coordinates of all 12 atoms:
Sr: 0.0000 0.0000 0.0000  8 Hg 3.38-3.57, 4 In 3.71
In: 0.5000 0.1456 0.7088  6 Hg 3.12-3.23, 2 In 3.36
In: 0.0000 0.3095 0.3810  4 Hg 3.09-3.23, 2 In 3.18
In: 0.5000 0.5000 0.0000  6 Hg 3.07-3.34, 4 In 3.36
In: 0.0000 0.6905 0.6190  4 Hg 3.09-3.23, 2 In 3.18
In: 0.5000 0.8544 0.2912  6 Hg 3.12-3.23, 2 In 3.36
Hg: 0.7243 0.1002 0.3494  4 In 3.07-3.23, 3 Hg 3.39-3.42, 1 Sr 3.41
Hg: 0.2757 0.5504 0.3494  4 In 3.07-3.23, 3 Hg 3.39-3.42, 1 Sr 3.41
Hg: 0.2278 0.3059 0.0000  5 In 3.17-3.34, 1 Sr 3.38, 2 Hg 3.42
Hg: 0.7722 0.6941 0.0000  5 In 3.17-3.34, 1 Sr 3.38, 2 Hg 3.42
Hg: 0.7243 0.4496 0.6506  4 In 3.07-3.23, 3 Hg 3.39-3.42, 1 Sr 3.41
Hg: 0.2757 0.8998 0.6506  4 In 3.07-3.23, 3 Hg 3.39-3.42, 1 Sr 3.41

As for the formation energy: -145 kJ/mol of formula units. For the energy above the most stable polymorph in this dataset, the calculation gives 0.011 eV/atom. The calculated density comes out at 9409 kg/m3. The calculation puts the total DFT energy (no corrections) at -1.557 eV/atom. The calculation puts the total magnetization at 0.00 μB/f.u.